5
Lattice="4.587 0.000 0.000 0.000 4.587 0.000 0.000 0.000 4.587" Properties=species:S:1:pos:R:3 comment="Li3ZnSi PBE-GGA relaxed" sg="No. 221" e_form_raw_mev_per_atom=381 pbc="T T T"
Zn 0.000 0.000 0.000
Si 2.293 2.293 2.293
Li 0.000 2.293 0.000
Li 0.000 0.000 2.293
Li 2.293 0.000 0.000

***

5
Lattice="4.795 0.000 0.000 0.000 4.795 0.000 0.000 0.000 4.795" Properties=species:S:1:pos:R:3 comment="Li3ZnSi PBE-GGA relaxed" sg="No. 221" e_form_raw_mev_per_atom=229 pbc="T T T"
Zn 2.397 2.397 2.397
Si 0.000 0.000 0.000
Li 0.000 2.397 0.000
Li 0.000 0.000 2.397
Li 2.397 0.000 0.000

***

6
Lattice="-0.439 1.367 -3.825 -5.443 -0.393 -1.698 -0.379 4.952 -0.369" Properties=species:S:1:pos:R:3 comment="LiZnSi PBE-GGA relaxed" sg="No. 12" e_form_raw_mev_per_atom=-123 pbc="T T T"
Li -4.274 4.779 -4.348
Li -1.986 1.147 -1.544
Zn -5.368 2.110 -5.176
Zn -0.892 3.816 -0.716
Si -2.132 3.557 -2.848
Si -4.128 2.369 -3.044

***

4
Lattice="4.683 0.059 0.000 1.311 4.496 0.000 -2.997 -2.278 2.786" Properties=species:S:1:pos:R:3 comment="LiZn2Si PBE-GGA relaxed" sg="No. 139" e_form_raw_mev_per_atom=-47 pbc="T T T"
Li 2.341 0.030 1.393
Si 0.655 2.248 1.393
Zn 0.000 0.000 0.000
Zn 2.997 2.278 0.000